# TiTl2SnS4

A relaxed structure of TiTl2SnS4 (PBE, Alexandria).

Cell lengths 9.402, 8.433, 6.129 Å; angles 90.00, 90.00, 90.00 degrees
Sites, in units of the cell vectors:
Ti1 0.000 0.102 0.000
Ti2 0.500 0.898 0.500
Tl1 0.222 0.345 0.430
Tl2 0.278 0.655 0.930
Tl3 0.722 0.655 0.930
Tl4 0.778 0.345 0.430
Sn1 0.000 0.792 0.453
Sn2 0.500 0.208 0.953
S1 0.000 0.090 0.376
S2 0.000 0.837 0.890
S3 0.195 0.245 0.919
S4 0.305 0.755 0.419
S5 0.500 0.163 0.390
S6 0.500 0.910 0.876
S7 0.695 0.755 0.419
S8 0.805 0.245 0.919

Summary:
The calculated volume is 485.9 Å³/cell. Its crystal system is orthorhombic. Its space group is No. 31. The calculated total energy is -4.831 eV per atom.